Entry one
Below is Er4AlRu after structural relaxation, with properties calculated at the PBE level.

## Properties
* SG: C2/c

```
Er4AlRu
1.0
6.020 -0.741 0.000
-2.482 8.469 0.000
-1.769 -3.864 6.345
Er Al Ru
8 2 2
Direct
0.232 0.279 0.341
0.768 0.721 0.659
0.758 0.364 0.154
0.242 0.636 0.846
0.105 0.210 0.846
0.895 0.790 0.154
0.391 0.937 0.659
0.609 0.063 0.341
0.375 0.625 0.249
0.625 0.375 0.751
0.249 0.999 0.998
0.751 0.001 0.002
```

Entry two
Below is Er4AlRu after structural relaxation, with properties calculated at the PBE level.

## Properties
* SG: F-43m

```
Er4AlRu
1.0
3.550 6.762 5.524
0.463 -1.292 9.325
8.359 -1.232 4.178
Er Ru Al
16 4 4
Direct
0.556 0.944 0.556
0.189 0.189 0.811
0.399 0.802 0.399
0.944 0.556 0.944
0.811 0.811 0.189
0.189 0.811 0.189
0.399 0.399 0.399
0.189 0.811 0.811
0.802 0.399 0.399
0.944 0.944 0.556
0.944 0.556 0.556
0.556 0.944 0.944
0.811 0.189 0.811
0.556 0.556 0.944
0.399 0.399 0.802
0.811 0.189 0.189
0.610 0.170 0.610
0.610 0.610 0.610
0.610 0.610 0.170
0.170 0.610 0.610
0.173 0.481 0.173
0.173 0.173 0.173
0.481 0.173 0.173
0.173 0.173 0.481
```

It is entry one that is the least stable of them.

Entry one
Below is Er2AlS after structural relaxation, with properties calculated at the PBE level.

## Properties
* SG: R3m

```
Er2AlS
1.0
3.695 0.000 0.000
1.848 3.200 0.000
1.848 1.067 7.888
Er Al S
2 1 1
Direct
0.070 0.070 0.790
0.263 0.263 0.212
0.500 0.500 0.501
0.668 0.668 0.997
```

Entry two
Below is Er2AlS after structural relaxation, with properties calculated at the PBE level.

## Properties
* SG: R-3m

```
Er2AlS
1.0
-2.787 -2.294 0.144
0.337 -3.338 -1.339
2.113 -4.914 7.906
Er Al S
2 1 1
Direct
0.893 0.893 0.322
0.107 0.107 0.678
0.000 0.000 0.000
0.500 0.500 0.500
```

Entry three
Below is Er2AlS after structural relaxation, with properties calculated at the PBE level.

## Properties
* SG: Cmcm

```
Er2AlS
1.0
4.116 0.000 0.000
0.000 3.860 -0.686
0.000 0.004 11.232
Er Al S
4 2 2
Direct
0.750 0.926 0.853
0.250 0.316 0.632
0.250 0.074 0.147
0.750 0.684 0.368
0.750 0.538 0.076
0.250 0.462 0.924
0.250 0.195 0.389
0.750 0.805 0.611
```

It is entry two that is the least stable of them.

Entry one
Below is ErAl2S4 after structural relaxation, with properties calculated at the PBE level.

## Properties
* SG: I4/m

```
ErAl2S4
1.0
6.185 -0.142 0.000
-3.102 5.353 0.000
-1.542 -2.606 5.396
Er Al S
1 2 4
Direct
0.500 0.500 0.000
0.250 0.750 0.500
0.750 0.250 0.500
0.170 0.645 0.815
0.830 0.355 0.185
0.645 0.830 0.475
0.355 0.170 0.525
```

Entry two
Below is ErAl2S4 after structural relaxation, with properties calculated at the PBE level.

## Properties
* SG: Fdd2

```
ErAl2S4
1.0
6.837 0.000 3.444
3.420 6.786 1.719
0.686 0.003 7.147
S Al Er
8 4 2
Direct
0.677 0.681 0.755
0.182 0.657 0.753
0.685 0.157 0.747
0.108 0.818 0.255
0.593 0.343 0.247
0.181 0.182 0.745
0.590 0.843 0.253
0.113 0.319 0.245
0.367 0.172 0.375
0.289 0.328 0.874
0.492 0.672 0.126
0.913 0.828 0.625
0.655 0.500 0.500
0.905 0.000 0.000
```

It is entry one that is the least stable of them.

Entry one
Below is ErScAl2 after structural relaxation, with properties calculated at the PBE level.

## Properties
* SG: Fm-3m

```
ErScAl2
1.0
-0.098 -4.862 -0.707
1.712 -3.023 3.475
-3.114 -2.795 2.577
Al Sc Er
2 1 1
Direct
0.750 0.750 0.750
0.250 0.250 0.250
0.500 0.500 0.500
0.000 0.000 0.000
```

Entry two
Below is ErScAl2 after structural relaxation, with properties calculated at the PBE level.

## Properties
* SG: P4/mmm

```
ErScAl2
1.0
3.478 0.000 0.000
0.000 3.478 0.000
0.000 0.000 6.920
Al Er Sc
2 1 1
Direct
0.000 0.000 0.770
0.000 0.000 0.230
0.500 0.500 0.500
0.500 0.500 0.000
```

It is entry one that is the least stable of them.

Entry one
Below is Er3ScAl after structural relaxation, with properties calculated at the PBE level.

## Properties
* SG: Cmcm

```
Er3ScAl
1.0
-1.984 -0.278 -6.397
-7.757 -1.427 2.468
-4.515 8.852 1.017
Er Al Sc
12 4 4
Direct
0.250 0.594 0.601
0.750 0.406 0.899
0.500 0.776 0.306
0.750 0.406 0.399
0.250 0.594 0.101
0.499 0.777 0.806
0.001 0.777 0.306
0.999 0.223 0.694
0.501 0.223 0.194
0.000 0.224 0.194
0.500 0.224 0.694
0.000 0.776 0.806
0.250 0.391 0.402
0.750 0.609 0.098
0.750 0.609 0.598
0.250 0.391 0.902
0.250 0.015 0.496
0.750 0.985 0.004
0.250 0.015 0.996
0.750 0.985 0.504
```

Entry two
Below is Er3ScAl after structural relaxation, with properties calculated at the PBE level.

## Properties
* SG: Cmcm

```
Er3ScAl
1.0
-3.270 -3.146 1.092
-0.028 -1.507 -4.424
6.819 -9.447 3.176
Sc Er Al
2 6 2
Direct
0.672 0.750 0.304
0.976 0.250 0.696
0.268 0.750 0.113
0.381 0.250 0.887
0.878 0.750 0.891
0.770 0.250 0.109
0.574 0.250 0.499
0.074 0.750 0.501
0.477 0.750 0.694
0.171 0.250 0.306
```

It is entry two that is the least stable of them.

Entry one
Below is ErScAl after structural relaxation, with properties calculated at the PBE level.

## Properties
* SG: I4mm

```
ErScAl
1.0
3.296 0.000 0.000
0.000 3.296 0.000
-1.648 -1.648 6.466
Er Al Sc
1 1 1
Direct
0.605 0.605 0.210
0.944 0.944 0.888
0.301 0.301 0.602
```

Entry two
Below is ErScAl after structural relaxation, with properties calculated at the PBE level.

## Properties
* SG: P2_1/m

```
ErScAl
1.0
3.487 0.000 -0.748
0.000 5.054 0.000
-0.108 0.000 8.001
Al Er Sc
2 2 2
Direct
0.915 0.750 0.830
0.085 0.250 0.170
0.420 0.250 0.841
0.580 0.750 0.159
0.269 0.750 0.537
0.731 0.250 0.463
```

Entry three
Below is ErScAl after structural relaxation, with properties calculated at the PBE level.

## Properties
* SG: P3m1

```
ErScAl
1.0
3.053 0.000 0.000
0.000 5.019 0.000
0.000 -2.509 4.346
Al Er Sc
1 1 1
Direct
0.668 0.667 0.333
0.172 0.333 0.667
0.160 0.000 0.000
```

It is entry three that is the least stable of them.